# 1
The following is a DFT calculation (PBE) of a geometry-optimized Pa2PN2 structure.

Cell lengths 9.2728, 3.7852, 9.7178 Å; angles 90.00, 90.00, 90.00 degrees
Last column: nearest neighbours and their distance in Å.
Atoms (fractional coordinates):
1 Pa 0.0043 0.2500 0.1631  4 N 2.26-2.33
2 Pa 0.1652 0.2500 0.5256  4 N 2.26-2.33
3 Pa 0.3348 0.7500 0.0256  4 N 2.26-2.33
4 Pa 0.4957 0.7500 0.6631  4 N 2.26-2.33
5 Pa 0.5043 0.2500 0.3369  4 N 2.26-2.33
6 Pa 0.6652 0.2500 0.9744  4 N 2.26-2.33
7 Pa 0.8348 0.7500 0.4744  4 N 2.26-2.33
8 Pa 0.9957 0.7500 0.8369  4 N 2.26-2.33
9 P 0.2382 0.2500 0.8178  5 Pa 2.91-2.95, 3 N 3.04-3.25
10 P 0.2618 0.7500 0.3178  5 Pa 2.91-2.95, 3 N 3.04-3.25
11 P 0.7382 0.2500 0.6822  5 Pa 2.91-2.95, 3 N 3.04-3.25
12 P 0.7618 0.7500 0.1822  5 Pa 2.91-2.95, 3 N 3.04-3.25
13 N 0.0435 0.7500 0.6037  4 Pa 2.31-2.33
14 N 0.0920 0.7500 0.0506  4 Pa 2.26-2.33
15 N 0.4080 0.2500 0.5506  4 Pa 2.26-2.33
16 N 0.4565 0.2500 0.1037  4 Pa 2.31-2.33
17 N 0.5435 0.7500 0.8963  4 Pa 2.31-2.33
18 N 0.5920 0.7500 0.4494  4 Pa 2.26-2.33
19 N 0.9080 0.2500 0.9494  4 Pa 2.26-2.33
20 N 0.9565 0.2500 0.3963  4 Pa 2.31-2.33

Values from the calculation:
ΔE_f (raw) = -1.542 eV/atom
Symmetry = Pnma (62)
Total DFT energy (no corrections) = -9.752 eV/atom
Crystal system = orthorhombic

# 2
The following is a DFT calculation (PBE) of a geometry-optimized PaP2N5 structure.

Cell lengths 5.7910, 5.7910, 10.0648 Å; angles 90.00, 90.00, 142.86 degrees
Last column: nearest neighbours and their distance in Å.
Atoms (fractional coordinates):
1 Pa 0.0792 0.9208 0.7500  2 N 2.03
2 Pa 0.9208 0.0792 0.2500  2 N 2.03
3 P 0.2050 0.7950 0.0938  2 N 1.59-1.72
4 P 0.2050 0.7950 0.4062  2 N 1.59-1.72
5 P 0.7950 0.2050 0.5938  2 N 1.59-1.72
6 P 0.7950 0.2050 0.9062  2 N 1.59-1.72
7 N 0.0618 0.9382 0.1191  1 P 1.59
8 N 0.0618 0.9382 0.3809  1 P 1.59
9 N 0.2535 0.7465 0.5691  3 P 1.72-1.92
10 N 0.2535 0.7465 0.9309  3 P 1.72-1.92
11 N 0.2862 0.7138 0.2500  2 P 1.81
12 N 0.7138 0.2862 0.7500  2 P 1.81
13 N 0.7465 0.2535 0.0691  3 P 1.72-1.92
14 N 0.7465 0.2535 0.4309  3 P 1.72-1.92
15 N 0.9382 0.0618 0.6191  1 P 1.59
16 N 0.9382 0.0618 0.8809  1 P 1.59

Values from the calculation:
ΔE_f (raw) = -0.336 eV/atom
Symmetry = Cmcm (63)
Total DFT energy (no corrections) = -8.079 eV/atom
Crystal system = orthorhombic